(1)
KCrCuF2 (SCAN, PBEsol geometry); energy relative to the elements, uncorrected = -0.4400 eV/atom; total magnetization = 6.00 μB per cell
1.0
4.187 0.000 0.000
0.000 4.187 0.000
0.000 0.000 5.344
K Cr Cu F
1 1 1 2
Cartesian
0.000 0.000 0.000
2.094 2.094 0.000
0.000 0.000 2.672
0.000 2.094 2.672
2.094 0.000 2.672

***

(2)
CrCuN2F (SCAN, PBEsol geometry); energy relative to the elements, uncorrected = -0.0757 eV/atom; total magnetization = 0.20 μB per cell
1.0
3.640 0.000 0.000
0.000 3.640 0.000
0.000 0.000 3.823
Cr Cu N F
1 1 2 1
Cartesian
0.000 0.000 0.000
1.820 1.820 1.911
0.000 1.820 0.000
1.820 0.000 0.000
0.000 0.000 1.911

***

(3)
CrCuSeF2 (SCAN, PBEsol geometry); energy relative to the elements, uncorrected = -0.1738 eV/atom; total magnetization = 3.89 μB per cell
1.0
4.080 0.000 0.000
0.000 4.080 0.000
0.000 0.000 4.945
Cr Cu Se F
1 1 1 2
Cartesian
0.000 0.000 0.000
2.040 2.040 0.000
0.000 0.000 2.473
0.000 2.040 2.473
2.040 0.000 2.473

***

What did the third record say?
CrCuSeF2 (SCAN, PBEsol geometry); energy relative to the elements, uncorrected = -0.1738 eV/atom; total magnetization = 3.89 μB per cell
1.0
4.080 0.000 0.000
0.000 4.080 0.000
0.000 0.000 4.945
Cr Cu Se F
1 1 1 2
Cartesian
0.000 0.000 0.000
2.040 2.040 0.000
0.000 0.000 2.473
0.000 2.040 2.473
2.040 0.000 2.473

***

> Among the records above, which one has the highest energy relative to the elements, uncorrected?

CrCuN2F